# Sm3TmF (PBE, optimized geometry)
# ΔE_f (raw) = -0.9619 eV per atom
# space-group type = Pm-3m (221)
# theoretical density = 7991 kg/m³
data_Sm3TmF
_chemical_formula_sum 'Sm3 Tm1 F1'
_space_group_name_H-M_alt 'P 1'
_space_group_IT_number 1
_cell_length_a 5.102
_cell_length_b 5.102
_cell_length_c 5.102
_cell_angle_alpha 90.00
_cell_angle_beta 90.00
_cell_angle_gamma 90.00
loop_
_space_group_symop_operation_xyz
'x,y,z'
loop_
_atom_site_label
_atom_site_fract_x
_atom_site_fract_y
_atom_site_fract_z
_atom_site_occupancy
Sm1 0.000 0.000 0.500 1
Sm2 0.000 0.500 0.000 1
Sm3 0.500 0.000 0.000 1
Tm1 0.500 0.500 0.500 1
F1 0.000 0.000 0.000 1